[1]
This record from Alexandria via LeMat-Bulk describes crystalline Ce3ThPd12 at its relaxed geometry. The functional is PBE-GGA.

Summary:
DFT total energy	-6.321	eV/atom
crystal system	tetragonal
symmetry	P4/mmm
total magnetization	1.48	Bohr magnetons per cell
calculated density	10.98	g cm⁻³
energy of formation	-850.0	meV per atom

Structure (CIF):
```
data_Ce3ThPd12
_cell_length_a 4.177
_cell_length_b 4.177
_cell_length_c 16.724
_cell_angle_alpha 90.00
_cell_angle_beta 90.00
_cell_angle_gamma 90.00
_space_group_name_H-M_alt 'P 1'
_space_group_IT_number 1
loop_
_space_group_symop_operation_xyz
'x,y,z'
loop_
_atom_site_label
_atom_site_fract_x
_atom_site_fract_y
_atom_site_fract_z
Ce1 0.000 0.000 0.000
Ce2 0.000 0.000 0.247
Ce3 0.000 0.000 0.753
Th1 0.000 0.000 0.500
Pd1 0.000 0.500 0.124
Pd2 0.000 0.500 0.374
Pd3 0.000 0.500 0.626
Pd4 0.000 0.500 0.876
Pd5 0.500 0.000 0.124
Pd6 0.500 0.000 0.374
Pd7 0.500 0.000 0.626
Pd8 0.500 0.000 0.876
Pd9 0.500 0.500 0.000
Pd10 0.500 0.500 0.250
Pd11 0.500 0.500 0.500
Pd12 0.500 0.500 0.750
```

[2]
This record from Alexandria via LeMat-Bulk describes crystalline Tb4Y2Ho7 at its relaxed geometry. The functional is PBE-GGA.

Summary:
DFT total energy	-4.806	eV/atom
crystal system	triclinic
symmetry	P-1
total magnetization	0.00	Bohr magnetons per cell
calculated density	7.91	g cm⁻³
energy of formation	78.4	meV per atom

Structure (CIF):
```
data_Tb4Y2Ho7
_cell_length_a 6.729
_cell_length_b 8.562
_cell_length_c 8.804
_cell_angle_alpha 116.77
_cell_angle_beta 101.04
_cell_angle_gamma 103.72
_space_group_name_H-M_alt 'P 1'
_space_group_IT_number 1
loop_
_space_group_symop_operation_xyz
'x,y,z'
loop_
_atom_site_label
_atom_site_fract_x
_atom_site_fract_y
_atom_site_fract_z
Tb1 0.078 0.151 0.223
Tb2 0.328 0.328 0.994
Tb3 0.672 0.672 0.006
Tb4 0.922 0.849 0.777
Y1 0.199 0.730 0.130
Y2 0.801 0.270 0.870
Ho1 0.148 0.462 0.680
Ho2 0.259 0.012 0.570
Ho3 0.413 0.643 0.462
Ho4 0.500 0.000 0.000
Ho5 0.587 0.357 0.538
Ho6 0.741 0.988 0.430
Ho7 0.852 0.538 0.320
```

[3]
This record from Alexandria via LeMat-Bulk describes crystalline YbSm6 at its relaxed geometry. The functional is PBE-GGA.

Summary:
DFT total energy	-3.033	eV/atom
crystal system	cubic
symmetry	Im-3m
total magnetization	0.47	Bohr magnetons per cell
calculated density	6.45	g cm⁻³
energy of formation	1230.5	meV per atom

Structure (CIF):
```
data_YbSm6
_cell_length_a 8.212
_cell_length_b 8.212
_cell_length_c 8.212
_cell_angle_alpha 90.00
_cell_angle_beta 90.00
_cell_angle_gamma 90.00
_space_group_name_H-M_alt 'P 1'
_space_group_IT_number 1
loop_
_space_group_symop_operation_xyz
'x,y,z'
loop_
_atom_site_label
_atom_site_fract_x
_atom_site_fract_y
_atom_site_fract_z
Yb1 0.000 0.000 0.000
Yb2 0.500 0.500 0.500
Sm1 0.000 0.250 0.500
Sm2 0.000 0.500 0.250
Sm3 0.000 0.500 0.750
Sm4 0.000 0.750 0.500
Sm5 0.250 0.000 0.500
Sm6 0.250 0.500 0.000
Sm7 0.500 0.000 0.250
Sm8 0.500 0.000 0.750
Sm9 0.500 0.250 0.000
Sm10 0.500 0.750 0.000
Sm11 0.750 0.000 0.500
Sm12 0.750 0.500 0.000
```

[4]
This record from Alexandria via LeMat-Bulk describes crystalline AcPuRh at its relaxed geometry. The functional is PBE-GGA.

Summary:
DFT total energy	-8.794	eV/atom
crystal system	cubic
symmetry	F-43m
total magnetization	23.44	Bohr magnetons per cell
calculated density	10.62	g cm⁻³
energy of formation	-196.6	meV per atom

Structure (CIF):
```
data_AcPuRh
_cell_length_a 7.106
_cell_length_b 7.106
_cell_length_c 7.106
_cell_angle_alpha 90.00
_cell_angle_beta 90.00
_cell_angle_gamma 90.00
_space_group_name_H-M_alt 'P 1'
_space_group_IT_number 1
loop_
_space_group_symop_operation_xyz
'x,y,z'
loop_
_atom_site_label
_atom_site_fract_x
_atom_site_fract_y
_atom_site_fract_z
Ac1 0.000 0.000 0.000
Ac2 0.000 0.500 0.500
Ac3 0.500 0.000 0.500
Ac4 0.500 0.500 0.000
Pu1 0.000 0.000 0.500
Pu2 0.000 0.500 0.000
Pu3 0.500 0.000 0.000
Pu4 0.500 0.500 0.500
Rh1 0.250 0.250 0.750
Rh2 0.250 0.750 0.250
Rh3 0.750 0.250 0.250
Rh4 0.750 0.750 0.750
```

[5]
This record from Alexandria via LeMat-Bulk describes crystalline K3Bi5Te12 at its relaxed geometry. The functional is PBE-GGA.

Summary:
DFT total energy	-3.198	eV/atom
crystal system	cubic
E_form (uncorrected)	-3.6	eV/f.u.
symmetry	Ia-3d
total magnetization	0.00	Bohr magnetons per cell
calculated density	5.31	g cm⁻³

Structure (CIF):
```
data_K3Bi5Te12
_cell_length_a 16.357
_cell_length_b 16.357
_cell_length_c 16.357
_cell_angle_alpha 109.47
_cell_angle_beta 109.47
_cell_angle_gamma 109.47
_space_group_name_H-M_alt 'P 1'
_space_group_IT_number 1
loop_
_space_group_symop_operation_xyz
'x,y,z'
loop_
_atom_site_label
_atom_site_fract_x
_atom_site_fract_y
_atom_site_fract_z
K1 0.125 0.250 0.375
K2 0.125 0.375 0.750
K3 0.250 0.375 0.125
K4 0.250 0.875 0.625
K5 0.375 0.125 0.250
K6 0.375 0.750 0.125
K7 0.625 0.250 0.875
K8 0.625 0.875 0.750
K9 0.750 0.125 0.375
K10 0.750 0.625 0.875
K11 0.875 0.625 0.250
K12 0.875 0.750 0.625
Bi1 0.000 0.000 0.000
Bi2 0.000 0.000 0.500
Bi3 0.000 0.500 0.000
Bi4 0.000 0.500 0.500
Bi5 0.125 0.750 0.875
Bi6 0.125 0.875 0.250
Bi7 0.250 0.125 0.875
Bi8 0.250 0.625 0.375
Bi9 0.375 0.250 0.625
Bi10 0.375 0.625 0.750
Bi11 0.500 0.000 0.000
Bi12 0.500 0.000 0.500
Bi13 0.500 0.500 0.000
Bi14 0.500 0.500 0.500
Bi15 0.625 0.375 0.250
Bi16 0.625 0.750 0.375
Bi17 0.750 0.375 0.625
Bi18 0.750 0.875 0.125
Bi19 0.875 0.125 0.750
Bi20 0.875 0.250 0.125
Te1 0.042 0.215 0.126
Te2 0.042 0.327 0.916
Te3 0.084 0.626 0.412
Te4 0.084 0.958 0.673
Te5 0.088 0.715 0.673
Te6 0.088 0.874 0.416
Te7 0.126 0.042 0.215
Te8 0.126 0.584 0.912
Te9 0.173 0.215 0.588
Te10 0.173 0.458 0.584
Te11 0.215 0.126 0.042
Te12 0.215 0.588 0.173
Te13 0.285 0.327 0.912
Te14 0.285 0.458 0.374
Te15 0.327 0.912 0.285
Te16 0.327 0.916 0.042
Te17 0.374 0.285 0.458
Te18 0.374 0.588 0.916
Te19 0.412 0.084 0.626
Te20 0.412 0.827 0.785
Te21 0.416 0.088 0.874
Te22 0.416 0.827 0.542
Te23 0.458 0.374 0.285
Te24 0.458 0.584 0.173
Te25 0.542 0.416 0.827
Te26 0.542 0.626 0.715
Te27 0.584 0.173 0.458
Te28 0.584 0.912 0.126
Te29 0.588 0.173 0.215
Te30 0.588 0.916 0.374
Te31 0.626 0.412 0.084
Te32 0.626 0.715 0.542
Te33 0.673 0.084 0.958
Te34 0.673 0.088 0.715
Te35 0.715 0.542 0.626
Te36 0.715 0.673 0.088
Te37 0.785 0.412 0.827
Te38 0.785 0.874 0.958
Te39 0.827 0.542 0.416
Te40 0.827 0.785 0.412
Te41 0.874 0.416 0.088
Te42 0.874 0.958 0.785
Te43 0.912 0.126 0.584
Te44 0.912 0.285 0.327
Te45 0.916 0.042 0.327
Te46 0.916 0.374 0.588
Te47 0.958 0.673 0.084
Te48 0.958 0.785 0.874
```

[6]
This record from Alexandria via LeMat-Bulk describes crystalline AlFe2Pb at its relaxed geometry. The functional is PBE-GGA.

Summary:
DFT total energy	-5.724	eV/atom
crystal system	tetragonal
symmetry	I-4m2
total magnetization	8.41	Bohr magnetons per cell
calculated density	9.18	g cm⁻³
energy of formation	369.8	meV per atom

Structure (CIF):
```
data_AlFe2Pb
_cell_length_a 3.889
_cell_length_b 3.889
_cell_length_c 8.275
_cell_angle_alpha 90.00
_cell_angle_beta 90.00
_cell_angle_gamma 90.00
_space_group_name_H-M_alt 'P 1'
_space_group_IT_number 1
loop_
_space_group_symop_operation_xyz
'x,y,z'
loop_
_atom_site_label
_atom_site_fract_x
_atom_site_fract_y
_atom_site_fract_z
Al1 0.000 0.000 0.000
Al2 0.500 0.500 0.500
Fe1 0.000 0.000 0.500
Fe2 0.000 0.500 0.750
Fe3 0.500 0.000 0.250
Fe4 0.500 0.500 0.000
Pb1 0.000 0.500 0.250
Pb2 0.500 0.000 0.750
```